<w>
First-principles (PBE) data for an optimized crystal structure of Ta4Nb3Ru, as listed in the Alexandria database.

Lattice parameters (Å, degrees): 6.5242 6.5999 6.5245 90.00 90.00 90.00
Last column: nearest neighbours and their distance in Å.
Positions (direct):
1 Nb 0.0644 0.7470 0.7500  4 Ta 2.82-2.85, 2 Ru 2.82, 2 Nb 2.85
2 Nb 0.5644 0.2530 0.7500  4 Ta 2.82-2.85, 2 Ru 2.82, 2 Nb 2.85
3 Nb 0.0644 0.7470 0.2500  4 Ta 2.82-2.85, 2 Ru 2.82, 2 Nb 2.85
4 Nb 0.3144 0.0000 0.5000  4 Nb 2.85, 4 Ta 2.86
5 Nb 0.5644 0.2530 0.2500  4 Ta 2.82-2.85, 2 Ru 2.82, 2 Nb 2.85
6 Nb 0.8144 0.0000 0.0000  4 Nb 2.85, 4 Ta 2.86
7 Ta 0.0644 0.2569 0.7500  4 Ta 2.81-2.86, 2 Ru 2.81, 2 Nb 2.86
8 Ta 0.5644 0.7431 0.2500  4 Ta 2.81-2.86, 2 Ru 2.81, 2 Nb 2.86
9 Ta 0.8144 0.0000 0.5000  4 Nb 2.85, 4 Ta 2.86
10 Ta 0.3144 0.0000 0.0000  4 Nb 2.85, 4 Ta 2.86
11 Ta 0.8144 0.5000 0.5000  4 Ta 2.81, 4 Nb 2.82
12 Ta 0.3144 0.5000 0.0000  4 Ta 2.81, 4 Nb 2.82
13 Ta 0.5644 0.7431 0.7500  4 Ta 2.81-2.86, 2 Ru 2.81, 2 Nb 2.86
14 Ta 0.0644 0.2569 0.2500  4 Ta 2.81-2.86, 2 Ru 2.81, 2 Nb 2.86
15 Ru 0.3144 0.5000 0.5000  4 Ta 2.81, 4 Nb 2.82
16 Ru 0.8144 0.5000 0.0000  4 Ta 2.81, 4 Nb 2.82

space-group type: Pmna
calculated volume: 280.94 Å³ per cell

***

<x>
First-principles (PBE) data for an optimized crystal structure of Ta4Nb3Ru, as listed in the Alexandria database.

Lattice parameters (Å, degrees): 3.2603 3.2603 13.2400 90.00 90.00 90.00
Last column: nearest neighbours and their distance in Å.
Positions (direct):
1 Ta 0.0000 0.0000 0.6288  8 Nb 2.84-2.87
2 Ta 0.0000 0.0000 0.8807  4 Ru 2.79, 4 Nb 2.85
3 Ta 0.0000 0.0000 0.3712  8 Nb 2.84-2.87
4 Ta 0.0000 0.0000 0.1193  4 Ru 2.79, 4 Nb 2.85
5 Nb 0.5000 0.5000 0.7538  8 Ta 2.84-2.85
6 Nb 0.5000 0.5000 0.2462  8 Ta 2.84-2.85
7 Nb 0.5000 0.5000 0.5000  8 Ta 2.87
8 Ru 0.5000 0.5000 0.0000  8 Ta 2.79

space-group type: P4/mmm
calculated volume: 140.74 Å³ per cell

***

<x> takes first place; second place is 1.5 kJ/mol of atoms up.